[1]
{"formula": "NbHF", "functional": "GGA-PBE", "state": "relaxed", "lattice": [[-0.914, 2.610, -1.429], [-5.390, -0.232, 0.113], [0.570, 4.118, 3.826]], "species": ["H", "H", "Nb", "Nb", "F", "F"], "frac_coords": [[0.091, 0.248, 0.608], [0.909, 0.752, 0.392], [0.646, 0.016, 0.694], [0.354, 0.984, 0.306], [0.648, 0.740, 0.932], [0.352, 0.260, 0.068]]}

=====

[2]
{"formula": "Nb2HF2", "functional": "GGA-PBE", "state": "relaxed", "lattice": [[5.599, 0.000, 0.000], [0.000, 5.599, 0.000], [0.000, 0.000, 4.196]], "species": ["H", "H", "Nb", "Nb", "Nb", "Nb", "F", "F", "F", "F"], "frac_coords": [[0.000, 0.000, 0.000], [0.500, 0.500, 0.000], [0.301, 0.801, 0.000], [0.801, 0.699, 0.000], [0.699, 0.199, 0.000], [0.199, 0.301, 0.000], [0.302, 0.802, 0.500], [0.802, 0.698, 0.500], [0.698, 0.198, 0.500], [0.198, 0.302, 0.500]]}

=====

[3]
{"formula": "NbH2F6", "functional": "GGA-PBE", "state": "relaxed", "lattice": [[-3.015, -0.256, -4.035], [3.347, -3.068, -2.307], [-3.535, -7.333, 4.623]], "species": ["Nb", "Nb", "H", "H", "H", "H", "F", "F", "F", "F", "F", "F", "F", "F", "F", "F", "F", "F"], "frac_coords": [[0.500, 0.500, 0.000], [0.000, 0.000, 0.500], [0.091, 0.775, 0.776], [0.409, 0.275, 0.724], [0.591, 0.725, 0.276], [0.909, 0.225, 0.224], [0.783, 0.734, 0.363], [0.924, 0.794, 0.686], [0.807, 0.714, 0.993], [0.693, 0.214, 0.507], [0.576, 0.294, 0.814], [0.717, 0.234, 0.137], [0.217, 0.266, 0.637], [0.076, 0.206, 0.314], [0.193, 0.286, 0.007], [0.307, 0.786, 0.493], [0.424, 0.706, 0.186], [0.283, 0.766, 0.863]]}

=====

[4]
{"formula": "Nb2HF2", "functional": "GGA-PBE", "state": "relaxed", "lattice": [[-0.977, 1.403, 2.618], [-2.204, -2.190, 0.352], [2.253, -3.743, 4.714]], "species": ["H", "Nb", "Nb", "F", "F"], "frac_coords": [[0.000, 0.000, 0.000], [0.390, 0.390, 0.221], [0.610, 0.610, 0.779], [0.750, 0.250, 0.500], [0.250, 0.750, 0.500]]}

=====

no.,raw total energy (eV per cell)
1,-36.46
2,-65.44
3,-96.93
4,-30.76